(1)
Here is an optimized crystal structure of Pr5Ho3Er3 from Alexandria via LeMat-Bulk. Energies are from PBE.

Lattice parameters (Å, degrees): 3.4634 11.2992 11.2992 120.00 90.00 90.00
Closest atoms and distances in Å follow each position.
Sites, in units of the cell vectors:
Pr (0.5000, 0.6667, 0.3333)  5 Pr 3.46-3.74, 6 Ho 3.85
Pr (0.5000, 0.3333, 0.6667)  5 Pr 3.46-3.74, 6 Ho 3.85
Pr (0.5000, 0.3383, 0.0000)  2 Er 3.31, 2 Ho 3.39, 2 Pr 3.46
Pr (0.5000, 0.6617, 0.6617)  2 Er 3.31, 2 Ho 3.39, 2 Pr 3.46
Pr (0.5000, 0.0000, 0.3383)  2 Er 3.31, 2 Ho 3.39, 2 Pr 3.46
Ho (0.0000, 0.5962, 0.0000)  2 Er 3.26, 2 Pr 3.39, 2 Ho 3.46
Ho (0.0000, 0.0000, 0.5962)  2 Er 3.26, 2 Pr 3.39, 2 Ho 3.46
Ho (0.0000, 0.4038, 0.4038)  2 Er 3.26, 2 Pr 3.39, 2 Ho 3.46
Er (0.5000, 0.8409, 0.0000)  4 Er 3.11-3.46, 2 Ho 3.26, 2 Pr 3.31
Er (0.5000, 0.1591, 0.1591)  4 Er 3.11-3.46, 2 Ho 3.26, 2 Pr 3.31
Er (0.5000, 0.0000, 0.8409)  4 Er 3.11-3.46, 2 Ho 3.26, 2 Pr 3.31

***

(2)
Here is an optimized crystal structure of Pr6HoEr8 from Alexandria via LeMat-Bulk. Energies are from PBE.

Lattice parameters (Å, degrees): 8.7404 8.7404 8.7404 62.65 62.65 62.65
Closest atoms and distances in Å follow each position.
Sites, in units of the cell vectors:
Pr (0.8994, 0.4623, 0.7729)  4 Er 3.38-3.67, 1 Ho 3.47, 2 Pr 3.54
Pr (0.2271, 0.1006, 0.5377)  4 Er 3.38-3.67, 1 Ho 3.47, 2 Pr 3.54
Pr (0.5377, 0.2271, 0.1006)  4 Er 3.38-3.67, 1 Ho 3.47, 2 Pr 3.54
Pr (0.4623, 0.7729, 0.8994)  4 Er 3.38-3.67, 1 Ho 3.47, 2 Pr 3.54
Pr (0.7729, 0.8994, 0.4623)  4 Er 3.38-3.67, 1 Ho 3.47, 2 Pr 3.54
Pr (0.1006, 0.5377, 0.2271)  4 Er 3.38-3.67, 1 Ho 3.47, 2 Pr 3.54
Ho (0.0000, 0.0000, 0.0000)  6 Pr 3.47, 6 Er 3.56
Er (0.1123, 0.7148, 0.7520)  3 Pr 3.38-3.67, 5 Er 3.43-3.46, 1 Ho 3.56
Er (0.2480, 0.8877, 0.2852)  3 Pr 3.38-3.67, 5 Er 3.43-3.46, 1 Ho 3.56
Er (0.2852, 0.2480, 0.8877)  3 Pr 3.38-3.67, 5 Er 3.43-3.46, 1 Ho 3.56
Er (0.5767, 0.5767, 0.5767)  4 Er 3.22-3.43, 3 Pr 3.49
Er (0.4233, 0.4233, 0.4233)  4 Er 3.22-3.43, 3 Pr 3.49
Er (0.7148, 0.7520, 0.1123)  3 Pr 3.38-3.67, 5 Er 3.43-3.46, 1 Ho 3.56
Er (0.7520, 0.1123, 0.7148)  3 Pr 3.38-3.67, 5 Er 3.43-3.46, 1 Ho 3.56
Er (0.8877, 0.2852, 0.2480)  3 Pr 3.38-3.67, 5 Er 3.43-3.46, 1 Ho 3.56

***

| no. | ΔE_f (eV/atom) |
| --- | --- |
| 1 | 0.310 |
| 2 | 0.121 |